Compound: UPtRhAu
Source: Alexandria via LeMat-Bulk
Functional: GGA-PBE
Structure: relaxed

```
data_UPtRhAu
_chemical_formula_sum 'U2 Pt2 Rh2 Au2'
_cell_length_a 4.030
_cell_length_b 4.159
_cell_length_c 8.719
_cell_angle_alpha 90.00
_cell_angle_beta 90.00
_cell_angle_gamma 90.00
_space_group_name_H-M_alt 'I m m 2'
_space_group_IT_number 44
_space_group_name_Hall 'I 2 -2'
loop_
_atom_site_label
_atom_site_type_symbol
_atom_site_fract_x
_atom_site_fract_y
_atom_site_fract_z
_atom_site_occupancy
U1 U 0.000 0.000 0.000 1
Pt1 Pt 0.000 0.000 0.508 1
Rh1 Rh 0.000 0.500 0.266 1
Au1 Au 0.000 0.500 0.753 1
```

distance to the lowest polymorph of the same formula = 4.0 meV per atom
raw total energy = -7.437 eV per atom
ΔH_f (0 K) = -0.45 eV/atom